Compound: K2CrAgO4
Source: the Alexandria database
Functional: PBE with a Hubbard U
Structure: optimized geometry

Space-group type ... I-4
Crystal system ... tetragonal
Density ... 3.6 Mg/m³

Lattice parameters (Å, degrees): 5.6967 5.6967 5.6967 102.34 113.15 113.15
Last column: magnetic moment on the atom in μB.
Fractional positions:
O1 0.0406 0.2201 0.5342  -0.03
K1 0.5000 0.7500 0.2500  0.00
K2 0.0000 0.0000 0.0000  0.00
Ag1 0.5000 0.2500 0.7500  0.00
O2 0.6859 0.4658 0.5065  -0.03
Cr1 0.0000 0.5000 0.5000  1.10
O3 0.3141 0.8205 0.7799  -0.03
O4 0.9594 0.4935 0.1795  -0.03


Compound: KCr2AgO6
Source: the Alexandria database
Functional: PBE with a Hubbard U
Structure: optimized geometry

Space-group type ... C2/c
Crystal system ... monoclinic
Density ... 3.5 Mg/m³

Lattice parameters (Å, degrees): 5.1398 8.0565 8.0565 94.83 85.80 85.80
Last column: magnetic moment on the atom in μB.
Fractional positions:
K1 0.2500 0.8833 0.1167  0.00
O1 0.2348 0.9610 0.7621  -0.09
Cr1 0.7499 0.6283 0.7928  1.24
O2 0.3817 0.8025 0.4339  -0.08
Ag1 0.2500 0.3252 0.6748  -0.04
Cr2 0.2499 0.7928 0.6283  1.24
O3 0.2652 0.2379 0.0390  -0.09
O4 0.5808 0.3787 0.2788  -0.04
Cr3 0.7501 0.2072 0.3717  1.24
O5 0.6183 0.1975 0.5661  -0.08
K2 0.7500 0.1167 0.8833  0.00
O6 0.7652 0.0390 0.2379  -0.09
Cr4 0.2501 0.3717 0.2072  1.24
O7 0.9192 0.7212 0.6213  -0.04
O8 0.0808 0.2788 0.3787  -0.04
Ag2 0.7500 0.6748 0.3252  -0.04
O9 0.4192 0.6213 0.7212  -0.04
O10 0.7348 0.7621 0.9610  -0.09
O11 0.1183 0.5661 0.1975  -0.08
O12 0.8817 0.4339 0.8025  -0.08


Compound: K3Cr2AgO8
Source: the Alexandria database
Functional: PBE with a Hubbard U
Structure: optimized geometry

D(E_F) ... 0.0 states/eV/cell
Space-group type ... P-3m1
Crystal system ... trigonal
Density ... 3.2 Mg/m³

Lattice parameters (Å, degrees): 5.9490 5.9490 7.6746 90.00 90.00 120.00
Fractional positions:
Cr1 0.3333 0.6667 0.2227
O1 0.6391 0.8196 0.2988
Cr2 0.6667 0.3333 0.7773
O2 0.1804 0.3609 0.2988
Ag1 0.0000 0.0000 0.5000
O3 0.6667 0.3333 0.9917
O4 0.8196 0.6391 0.7012
O5 0.3609 0.1804 0.7012
O6 0.8196 0.1804 0.7012
K1 0.6667 0.3333 0.3338
K2 0.0000 0.0000 0.0000
O7 0.1804 0.8196 0.2988
O8 0.3333 0.6667 0.0083
K3 0.3333 0.6667 0.6662


Compound: KCr2AgO8
Source: the Alexandria database
Functional: PBE with a Hubbard U
Structure: optimized geometry

D(E_F) ... 1.9 states/eV/cell
Space-group type ... R-3
Crystal system ... trigonal
Density ... 3.4 Mg/m³

Lattice parameters (Å, degrees): 5.1948 5.1948 8.5650 72.35 72.35 60.00
Last column: magnetic moment on the atom in μB.
Fractional positions:
O1 0.2641 0.9769 0.1649  0.20
O2 0.1894 0.1894 0.4318  0.04
Ag1 0.0000 0.0000 0.0000  0.63
O3 0.9769 0.5940 0.1649  0.20
O4 0.0231 0.4060 0.8351  0.20
Cr1 0.7427 0.7427 0.7718  -0.06
K1 0.5000 0.5000 0.5000  0.00
O5 0.8106 0.8106 0.5682  0.04
O6 0.7359 0.0231 0.8351  0.20
O7 0.4060 0.7359 0.8351  0.20
Cr2 0.2573 0.2573 0.2282  -0.06
O8 0.5940 0.2641 0.1649  0.20


| no. | energy (eV per atom) |
| --- | --- |
| 1 | -5.342 |
| 2 | -6.094 |
| 3 | -5.796 |
| 4 | -5.869 |